The following is a DFT calculation (PBE-GGA) of crystalline La2PmNd7Cd2 at its relaxed geometry.

Structure (POSCAR):
```
La2PmNd7Cd2
1.0
6.078 1.105 0.913
1.113 6.076 0.913
5.775 5.768 12.853
La Pm Nd Cd
2 1 7 2
Direct
0.850 0.850 0.650
0.150 0.150 0.350
0.000 0.000 0.000
0.500 0.500 0.000
0.309 0.309 0.499
0.691 0.691 0.501
0.830 0.330 0.171
0.330 0.830 0.171
0.670 0.170 0.829
0.170 0.670 0.829
0.725 0.725 0.276
0.275 0.275 0.724
```

Properties
formation energy from the elements = 0.00 eV per atom

=====

The following is a DFT calculation (PBE-GGA) of crystalline LaPm4Nd2Cd at its relaxed geometry.

Structure (POSCAR):
```
LaPm4Nd2Cd
1.0
-3.771 4.167 7.700
-8.700 -3.274 -2.113
10.412 -5.571 -1.005
La Pm Nd Cd
2 8 4 2
Direct
0.500 0.500 0.500
0.000 0.000 0.000
0.239 0.740 0.990
0.760 0.261 0.510
0.240 0.739 0.490
0.761 0.260 0.010
0.768 0.732 0.999
0.768 0.732 0.501
0.232 0.268 0.499
0.232 0.268 0.001
0.500 0.000 0.000
0.500 0.000 0.500
0.000 0.000 0.500
0.500 0.500 0.000
0.000 0.500 0.000
0.000 0.500 0.500
```

Properties
formation energy from the elements = 0.24 eV per atom

=====

The following is a DFT calculation (PBE-GGA) of crystalline La2Pm2NdCd5 at its relaxed geometry.

Structure (POSCAR):
```
La2Pm2NdCd5
1.0
4.941 0.000 0.000
0.000 10.827 0.000
0.000 0.000 10.827
La Pm Nd Cd
4 4 2 10
Direct
0.000 0.676 0.176
0.000 0.324 0.824
0.000 0.176 0.324
0.000 0.824 0.676
0.000 0.124 0.624
0.000 0.876 0.376
0.000 0.624 0.876
0.000 0.376 0.124
0.000 0.000 0.000
0.000 0.500 0.500
0.500 0.194 0.070
0.500 0.806 0.930
0.500 0.070 0.806
0.500 0.694 0.430
0.500 0.930 0.194
0.500 0.306 0.570
0.500 0.570 0.694
0.500 0.430 0.306
0.500 0.500 0.000
0.500 0.000 0.500
```

Properties
formation energy from the elements = -0.21 eV per atom

=====

The following is a DFT calculation (PBE-GGA) of crystalline La2PrNd7Cd2 at its relaxed geometry.

Structure (POSCAR):
```
La2PrNd7Cd2
1.0
0.532 -4.888 4.334
3.426 -5.204 -2.036
12.698 -5.808 6.056
La Pr Nd Cd
2 1 7 2
Direct
0.831 0.831 0.670
0.169 0.169 0.330
0.000 0.000 0.000
0.500 0.500 0.000
0.274 0.274 0.500
0.726 0.726 0.500
0.821 0.321 0.179
0.321 0.821 0.179
0.679 0.179 0.821
0.179 0.679 0.821
0.696 0.696 0.304
0.304 0.304 0.696
```

Properties
formation energy from the elements = 0.00 eV per atom